Entry 1:
The following is a PBE calculation of an optimized crystal structure of UPPd2, from Alexandria via LeMat-Bulk.

Results
The value obtained for the energy of formation from the pure elements is -0.59 eV/atom. Its space-group type is Cmcm, No. 63. For the total energy, the calculation gives -58.9 eV per cell. The total magnetic moment comes out at 1.5 μB per formula unit.

abc: 3.9370 5.2073 7.3779
angles: 90.00 90.00 112.21
Sites, in units of the cell vectors:
U 0.9419 0.8839 0.2500
U 0.0581 0.1161 0.7500
P 0.7672 0.5347 0.7500
P 0.2328 0.4653 0.2500
Pd 0.3622 0.7244 0.5594
Pd 0.6378 0.2756 0.4406
Pd 0.3622 0.7244 0.9406
Pd 0.6378 0.2756 0.0594



Entry 2:
The following is a PBE calculation of an optimized crystal structure of UP4Pd12, from Alexandria via LeMat-Bulk.

Results
The value obtained for the energy of formation from the pure elements is -0.34 eV/atom. Its space-group type is Im-3, No. 204. For the total energy, the calculation gives -101.0 eV per cell. The total magnetic moment comes out at 2.9 μB per formula unit.

abc: 7.2361 7.2361 7.2361
angles: 109.47 109.47 109.47
Sites, in units of the cell vectors:
U 0.0000 0.0000 0.0000
P 0.0000 0.5000 0.0000
P 0.5000 0.0000 0.0000
P 0.5000 0.5000 0.5000
P 0.0000 0.0000 0.5000
Pd 0.8301 0.3352 0.1652
Pd 0.3352 0.5051 0.1699
Pd 0.8348 0.1699 0.6648
Pd 0.3352 0.1652 0.8301
Pd 0.1652 0.8301 0.3352
Pd 0.6648 0.4949 0.8301
Pd 0.5051 0.1699 0.3352
Pd 0.4949 0.8301 0.6648
Pd 0.6648 0.8348 0.1699
Pd 0.8301 0.6648 0.4949
Pd 0.1699 0.3352 0.5051
Pd 0.1699 0.6648 0.8348



Q: Number 1 is which compound?
A: UPPd2



Copy entry 2 word for word.
The following is a PBE calculation of an optimized crystal structure of UP4Pd12, from Alexandria via LeMat-Bulk.

Results
The value obtained for the energy of formation from the pure elements is -0.34 eV/atom. Its space-group type is Im-3, No. 204. For the total energy, the calculation gives -101.0 eV per cell. The total magnetic moment comes out at 2.9 μB per formula unit.

abc: 7.2361 7.2361 7.2361
angles: 109.47 109.47 109.47
Sites, in units of the cell vectors:
U 0.0000 0.0000 0.0000
P 0.0000 0.5000 0.0000
P 0.5000 0.0000 0.0000
P 0.5000 0.5000 0.5000
P 0.0000 0.0000 0.5000
Pd 0.8301 0.3352 0.1652
Pd 0.3352 0.5051 0.1699
Pd 0.8348 0.1699 0.6648
Pd 0.3352 0.1652 0.8301
Pd 0.1652 0.8301 0.3352
Pd 0.6648 0.4949 0.8301
Pd 0.5051 0.1699 0.3352
Pd 0.4949 0.8301 0.6648
Pd 0.6648 0.8348 0.1699
Pd 0.8301 0.6648 0.4949
Pd 0.1699 0.3352 0.5051
Pd 0.1699 0.6648 0.8348